This record from Alexandria via LeMat-Bulk describes a relaxed Li3La2AlCu12 crystal. The functional is PBE.

Geometry as CIF:
```
data_Li3La2AlCu12
_cell_length_a 8.4716
_cell_length_b 8.4716
_cell_length_c 16.8126
_cell_angle_alpha 90.00
_cell_angle_beta 90.00
_cell_angle_gamma 120.00
_symmetry_space_group_name_H-M 'R -3 m'
_symmetry_Int_Tables_number 166
_symmetry_space_group_name_Hall '-R 3 2"'
loop_
_atom_site_label
_atom_site_fract_x
_atom_site_fract_y
_atom_site_fract_z
Li1 0.0000 0.5000 0.0000
La1 0.0000 0.0000 0.0968
Al1 0.0000 0.0000 0.5000
Cu1 0.0083 0.5041 0.1560
Cu2 0.0896 0.5448 0.4327
```

Results
N(E_F), states/eV per atom: 0.452
Calculated formation energy, eV/atom: 0.21